Entry from Alexandria via LeMat-Bulk: an optimized crystal structure of SrEuZnWO6 (PBE with a Hubbard U).

Geometry as CIF:
```
data_SrEuZnWO6
_chemical_formula_sum 'Sr1 Eu1 Zn1 W1 O6'
_cell_length_a 5.6964
_cell_length_b 5.6964
_cell_length_c 5.6964
_cell_angle_alpha 60.00
_cell_angle_beta 60.00
_cell_angle_gamma 60.00
_symmetry_space_group_name_H-M 'P 1'
_symmetry_Int_Tables_number 1
_symmetry_space_group_name_Hall 'P 1'
loop_
_atom_site_label
_atom_site_fract_x
_atom_site_fract_y
_atom_site_fract_z
Sr1 0.0000 0.0000 0.0000
Eu1 0.5000 0.5000 0.5000
Zn1 0.2500 0.2500 0.2500
W1 0.7500 0.7500 0.7500
O1 0.5083 0.5083 0.9917
O2 0.5083 0.9917 0.5083
O3 0.5083 0.9917 0.9917
O4 0.9917 0.5083 0.5083
O5 0.9917 0.5083 0.9917
O6 0.9917 0.9917 0.5083
```

Its total energy is -7.368 eV per atom. The theoretical density comes out at 7.43 g cm⁻³.